Zr2BeZn3 | Alexandria via LeMat-Bulk | PBE-GGA | optimized geometry; SG = Pmm2, No. 25; total magnetization = 0.000 μB/f.u.; energy relative to the elements = -0.24 eV per atom; volume = 99.11 Å³ per cell
1.0
3.2526 0.0000 0.0000
0.0000 4.1842 0.0000
0.0000 0.0000 7.2825
Zr Be Zn
2 1 3
Cartesian
0.0000 0.0000 0.0000
0.0000 2.0921 3.4578
1.6263 0.0000 2.3309
1.6263 0.0000 4.6738
1.6263 2.0921 1.1710
1.6263 2.0921 5.9665